The following is a PBE calculation of a relaxed structure of BPdPt, from Alexandria via LeMat-Bulk.

Cell: 3.866 3.866 5.472 Å, 90.00 90.00 94.91°
Positions (direct):
B: 0.091 0.554 0.750
B: 0.554 0.091 0.250
Pd: 0.903 0.039 0.750
Pd: 0.039 0.903 0.250
Pt: 0.504 0.504 0.500
Pt: 0.504 0.504 0.000

Results
Its space group is No. 40. The final energy is -36.191 eV per cell.

***

The following is a PBE calculation of a relaxed structure of BPd6Pt2, from Alexandria via LeMat-Bulk.

Cell: 2.863 7.435 7.435 Å, 122.16 88.76 88.76°
Positions (direct):
Pt: 0.500 0.121 0.879
Pt: 0.500 0.879 0.121
Pd: 0.236 0.835 0.478
Pd: 0.240 0.321 0.321
Pd: 0.764 0.165 0.522
Pd: 0.764 0.522 0.165
Pd: 0.760 0.679 0.679
Pd: 0.236 0.478 0.835
B: 0.000 0.000 0.000

Results
Its space group is No. 12. The final energy is -49.950 eV per cell.

***

The following is a PBE calculation of a relaxed structure of B2PdPt4, from Alexandria via LeMat-Bulk.

Cell: 5.370 5.371 7.895 Å, 108.00 107.99 95.27°
Positions (direct):
Pt: 0.762 0.646 0.146
Pt: 0.932 0.228 0.296
Pt: 0.452 0.119 0.349
Pt: 0.254 0.518 0.162
Pt: 0.369 0.202 0.849
Pt: 0.768 0.004 0.662
Pt: 0.895 0.512 0.646
Pt: 0.477 0.682 0.796
Pd: 0.065 0.925 0.992
Pd: 0.175 0.815 0.492
B: 0.558 0.290 0.154
B: 0.191 0.560 0.901
B: 0.811 0.941 0.401
B: 0.540 0.308 0.654

Results
The offset from the most stable computed form is 0.0 meV per atom. Its space group is No. 9.

***

The following is a PBE calculation of a relaxed structure of B2PdPt2, from Alexandria via LeMat-Bulk.

Cell: 6.517 6.517 2.757 Å, 90.00 90.00 90.00°
Positions (direct):
Pd: 0.500 0.500 0.000
Pd: 0.000 0.000 0.000
B: 0.648 0.148 0.000
B: 0.852 0.648 0.000
B: 0.352 0.852 0.000
B: 0.148 0.352 0.000
Pt: 0.853 0.353 0.500
Pt: 0.353 0.147 0.500
Pt: 0.647 0.853 0.500
Pt: 0.147 0.647 0.500

Results
The offset from the most stable computed form is 279.2 meV per atom. Its space group is No. 127.